A plane-wave DFT calculation with PBE was carried out for a relaxed structure of Pr2GaPtO6.

As for the size of the total moment: 0.0 μB/cell. The value obtained for the density is 8.1 g/cm³. For the density of states at the Fermi level, the calculation gives 0.185 states/eV/atom. As for the electronic total energy: -136.8 eV per cell.

The structure belongs to space group Pmmn (No. 59, origin choice 2); the cell edges are 5.544, 8.102 and 5.874 Å and the angles 90.00°, 90.00° and 90.00°. The asymmetric unit holds Pr at (0.250, 0.030, 0.210), Ga at (0.250, 0.750, 0.754), Pt at (0.250, 0.250, 0.726), O at (0.009, 0.250, 0.995), O at (0.023, 0.250, 0.443) and O at (0.250, 0.510, 0.792).